1.
LaPPd6: optimized geometry, PBE.

Results
- Space group: R-3m (166)
- Formation enthalpy at 0 K: -0.4970 eV per atom
- N(E_F): 1.78 states/eV per cell

Cell: 6.422 6.422 6.422 Å, 53.01 53.01 53.01°
Positions (direct):
La  0.000  0.000  0.000
P  0.500  0.500  0.500
Pd  0.065  0.590  0.590
Pd  0.410  0.410  0.935
Pd  0.410  0.935  0.410
Pd  0.590  0.065  0.590
Pd  0.590  0.590  0.065
Pd  0.935  0.410  0.410

2.
LaP3Pd7: optimized geometry, PBE.

Results
- Space group: R-3c (167)
- Formation enthalpy at 0 K: -0.5733 eV per atom
- N(E_F): 19.23 states/eV per cell

Cell: 8.306 8.306 8.306 Å, 54.97 54.97 54.97°
Positions (direct):
La  0.000  0.000  0.000
La  0.500  0.500  0.500
P  0.074  0.750  0.426
P  0.250  0.574  0.926
P  0.426  0.074  0.750
P  0.574  0.926  0.250
P  0.750  0.426  0.074
P  0.926  0.250  0.574
Pd  0.085  0.846  0.651
Pd  0.151  0.346  0.585
Pd  0.154  0.349  0.915
Pd  0.250  0.250  0.250
Pd  0.346  0.585  0.151
Pd  0.349  0.915  0.154
Pd  0.415  0.849  0.654
Pd  0.585  0.151  0.346
Pd  0.651  0.085  0.846
Pd  0.654  0.415  0.849
Pd  0.750  0.750  0.750
Pd  0.846  0.651  0.085
Pd  0.849  0.654  0.415
Pd  0.915  0.154  0.349

3.
LaPPd2: optimized geometry, PBE.

Results
- Space group: Cmcm (63)
- Formation enthalpy at 0 K: -0.9721 eV per atom
- N(E_F): 11.82 states/eV per cell

Cell: 4.102 18.540 4.175 Å, 90.00 90.00 90.00°
Positions (direct):
La  0.000  0.109  0.250
La  0.000  0.891  0.750
La  0.500  0.391  0.750
La  0.500  0.609  0.250
P  0.000  0.324  0.250
P  0.000  0.676  0.750
P  0.500  0.176  0.750
P  0.500  0.824  0.250
Pd  0.000  0.248  0.750
Pd  0.000  0.453  0.250
Pd  0.000  0.547  0.750
Pd  0.000  0.752  0.250
Pd  0.500  0.047  0.750
Pd  0.500  0.252  0.250
Pd  0.500  0.748  0.750
Pd  0.500  0.953  0.250

4.
La2P3Pd5: optimized geometry, PBE.

Results
- Space group: Cmc2_1 (36)
- Formation enthalpy at 0 K: -0.9193 eV per atom
- N(E_F): 9.39 states/eV per cell

Cell: 11.911 11.911 7.682 Å, 90.00 90.00 159.55°
Positions (direct):
La  0.037  0.963  0.500
La  0.316  0.684  0.447
La  0.684  0.316  0.947
La  0.963  0.037  0.000
P  0.103  0.897  0.821
P  0.285  0.715  0.039
P  0.456  0.544  0.696
P  0.544  0.456  0.196
P  0.715  0.285  0.539
P  0.897  0.103  0.321
Pd  0.092  0.908  0.134
Pd  0.172  0.828  0.587
Pd  0.210  0.790  0.239
Pd  0.364  0.636  0.851
Pd  0.452  0.548  0.341
Pd  0.548  0.452  0.841
Pd  0.636  0.364  0.351
Pd  0.790  0.210  0.739
Pd  0.828  0.172  0.087
Pd  0.908  0.092  0.634